## BaSr3Ge (PBE-GGA)

Data for a geometry-optimized BaSr3Ge structure.

a = 6.347 Å, b = 6.347 Å, c = 6.347 Å
α = 90.00°, β = 90.00°, γ = 90.00°
Site moments in Bohr magnetons follow the coordinates.
Sites, in units of the cell vectors:
Sr: 0.000 0.500 0.000  0.12
Sr: 0.500 0.000 0.000  0.08
Ge: 0.500 0.500 0.500  -0.23
Ba: 0.000 0.000 0.000  0.55
Sr: 0.000 0.000 0.500  0.20

Output
DFT formation energy (kcal/mol of atoms): 23.7
DOS at the Fermi energy (states/eV per atom): 0.90